(1)
Ir2OsPb: relaxed, PBE.

Lattice parameters (Å, degrees): 4.5606 4.5606 4.5606 60.00 60.00 60.00
Atoms (fractional coordinates):
Ir 0.0000 0.0000 0.0000
Ir 0.7500 0.7500 0.7500
Os 0.2500 0.2500 0.2500
Pb 0.5000 0.5000 0.5000

Crystal system = cubic
Calculated total energy = -7.308 eV per atom

***

(2)
IrOsPd2: relaxed, PBE.

Lattice parameters (Å, degrees): 4.3990 4.3990 4.3990 60.00 60.00 60.00
Atoms (fractional coordinates):
Ir 0.5000 0.5000 0.5000
Os 0.7500 0.7500 0.7500
Pd 0.0000 0.0000 0.0000
Pd 0.2500 0.2500 0.2500

Crystal system = cubic
Calculated total energy = -7.150 eV per atom
Formation energy = 458 meV per atom